A plane-wave DFT calculation with GGA+U was carried out for MnAgN2F after structural relaxation.

Energy relative to the lowest polymorph listed for this composition, eV/atom: 0.337
D(E_F), states/eV/cell: 1.77
Symmetry: No. 123
Magnetization, μB per cell: 2.81

Unit cell a=4.048 b=4.048 c=4.458 alpha=90.00 beta=90.00 gamma=90.00
Last column: magnetic moment on the atom in μB.
Atoms (fractional coordinates):
N: 0.000 0.500 0.000  -0.75
N: 0.500 0.000 0.000  -0.75
Ag: 0.000 0.000 0.000  -0.17
Mn: 0.500 0.500 0.500  4.76
F: 0.000 0.000 0.500  -0.01